(1)
First-principles (PBE) data for a relaxed structure of PaTi2Tl, as listed in Alexandria via LeMat-Bulk.

Output
calculated total energy	-80.52	eV/cell
energy relative to the elements	203	meV per atom
V	257.14	Å³/cell
energy above the most stable polymorph in this dataset	126	meV/atom

Structure (CIF):
```
data_PaTi2Tl
_chemical_formula_sum 'Pa3 Ti6 Tl3'
_cell_length_a 3.1794
_cell_length_b 3.1794
_cell_length_c 29.3735
_cell_angle_alpha 90.00
_cell_angle_beta 90.00
_cell_angle_gamma 120.00
_symmetry_space_group_name_H-M 'R -3 m'
_symmetry_Int_Tables_number 166
_symmetry_space_group_name_Hall '-R 3 2"'
loop_
_atom_site_label
_atom_site_fract_x
_atom_site_fract_y
_atom_site_fract_z
Pa1 0.0000 0.0000 0.0000
Ti1 0.0000 0.0000 0.2495
Tl1 0.0000 0.0000 0.5000
```


(2)
First-principles (PBE) data for a relaxed structure of LaTc4Sb, as listed in Alexandria via LeMat-Bulk.

Output
formation energy (no corrections)	0.22	eV/atom
calculated total energy	-196.67	eV/cell
V	448.05	Å³/cell

Structure (CIF):
```
data_LaTc4Sb
_chemical_formula_sum 'La4 Tc16 Sb4'
_cell_length_a 7.652
_cell_length_b 7.652
_cell_length_c 7.652
_cell_angle_alpha 90.00
_cell_angle_beta 90.00
_cell_angle_gamma 90.00
_symmetry_space_group_name_H-M 'F -4 3 m'
_symmetry_Int_Tables_number 216
_symmetry_space_group_name_Hall 'F -4 2 3'
loop_
_atom_site_label
_atom_site_fract_x
_atom_site_fract_y
_atom_site_fract_z
La1 0.000 0.000 0.000
Tc1 0.123 0.123 0.377
Sb1 0.250 0.250 0.750
```


(3)
First-principles (PBE) data for a relaxed structure of KSiAg2S4, as listed in Alexandria via LeMat-Bulk.

Output
formation energy (no corrections)	-0.57	eV/atom
calculated total energy	-66.55	eV/cell
V	363.17	Å³/cell

Structure (CIF):
```
data_KSiAg2S4
_chemical_formula_sum 'K2 Si2 Ag4 S8'
_cell_length_a 6.697
_cell_length_b 6.705
_cell_length_c 8.087
_cell_angle_alpha 90.00
_cell_angle_beta 90.00
_cell_angle_gamma 90.00
_symmetry_space_group_name_H-M 'I 2 2 2'
_symmetry_Int_Tables_number 23
loop_
_symmetry_equiv_pos_as_xyz
'x,y,z'
'-x,-y,z'
'x,-y,-z'
'-x,y,-z'
'x+1/2,y+1/2,z+1/2'
'-x+1/2,-y+1/2,z+1/2'
'x+1/2,-y+1/2,-z+1/2'
'-x+1/2,y+1/2,-z+1/2'
loop_
_atom_site_label
_atom_site_fract_x
_atom_site_fract_y
_atom_site_fract_z
K1 0.000 0.000 0.000
Si1 0.000 0.000 0.500
Ag1 0.000 0.500 0.247
S1 0.187 0.188 0.353
```